1.
Material: LiSc2Pb
Method: DFT, PBE
State: relaxed

Cell: 7.945 7.945 5.996 Å, 90.00 90.00 90.00°
Space group I-42d (No. 122)
One atom of each set of equivalent atoms:
Li: 0.000 0.000 0.000 [4 per cell]
Sc: 0.238 0.750 0.125 [8 per cell]
Pb: 0.000 0.000 0.500 [4 per cell]

Values from the calculation:
The formation energy comes out at 93 meV per atom.

=====

2.
Material: La3ReI2
Method: DFT, PBE
State: relaxed

Cell: 7.760 13.232 8.590 Å, 90.00 109.11 90.00°
Space group C2/m (No. 12)
One atom of each set of equivalent atoms:
La: 0.181 0.000 0.192 [4 per cell]
La: 0.238 0.306 0.196 [8 per cell]
Re: 0.000 0.171 0.000 [4 per cell]
I: 0.000 0.000 0.500 [2 per cell]
I: 0.000 0.345 0.500 [4 per cell]
I: 0.000 0.500 0.000 [2 per cell]

Values from the calculation:
The calculation puts the uncorrected formation energy at -0.66 eV per atom.

=====

3.
Material: PmMnC2
Method: DFT, PBE
State: relaxed

Cell: 3.3296 3.3296 15.6780 Å, 90.00 90.00 120.00°
Space group R-3m (No. 166, hexagonal axes)
One atom of each set of equivalent atoms:
Pm: 0.0000 0.0000 0.0000 [3 per cell]
Mn: 0.0000 0.0000 0.5000 [3 per cell]
C: 0.0000 0.0000 0.2262 [6 per cell]

Values from the calculation:
The formation energy comes out at 329 meV per atom.

=====

For the records above, the corresponding Fermi-level density of states values read 4.03; 3.35; 2.41 states/eV/f.u..
For the records above, the corresponding M_tot values read 0.269; 0.000; 0.550 μB/atom.